1.
Material: Mg6Ga8Ag
Method: DFT, PBE-GGA
State: optimized geometry

Total magnetization: 0.000 μB per formula unit
DFT formation energy: -60 meV per atom
ρ: 4.46 Mg/m³
Space-group type: R-3
N(E_F): 0.39 states/eV per atom

Unit cell a=7.4574 b=7.4574 c=7.4574 alpha=61.31 beta=61.31 gamma=61.31
Element x y z (fractional)
Mg 0.5517 0.2682 0.0281
Mg 0.7318 0.9719 0.4483
Ga 0.6042 0.6042 0.6042
Mg 0.9719 0.4483 0.7318
Mg 0.0281 0.5517 0.2682
Ga 0.1691 0.8078 0.4024
Ga 0.1922 0.5976 0.8309
Ga 0.4024 0.1691 0.8078
Ga 0.8078 0.4024 0.1691
Mg 0.4483 0.7318 0.9719
Ga 0.8309 0.1922 0.5976
Mg 0.2682 0.0281 0.5517
Ga 0.3958 0.3958 0.3958
Ag 0.0000 0.0000 0.0000
Ga 0.5976 0.8309 0.1922

---

2.
Material: Na3Sc3GaTe8
Method: DFT, PBE-GGA
State: optimized geometry

Total magnetization: 0.000 μB per formula unit
ρ: 4.67 Mg/m³
Calculated total energy: -4.343 eV per atom
Space-group type: C2/m
N(E_F): 0.28 states/eV per atom

Unit cell a=8.2635 b=8.2629 c=9.1225 alpha=116.93 beta=90.00 gamma=120.00
Element x y z (fractional)
Sc 0.5000 0.5000 0.5000
Te 0.2376 0.4753 0.7146
Na 0.0000 0.5000 0.0000
Sc 0.5000 0.0000 0.5000
Ga 0.0000 0.0000 0.5000
Sc 0.0000 0.5000 0.5000
Te 0.7624 0.5247 0.2854
Na 0.5000 0.5000 0.0000
Te 0.7605 0.0221 0.2836
Te 0.2591 0.5182 0.2787
Na 0.0000 0.0000 0.0000
Te 0.7384 0.9779 0.7164
Te 0.2395 0.9779 0.7164
Te 0.7409 0.4818 0.7213
Te 0.2616 0.0221 0.2836

---

3.
Material: Er2Mg2Pd5
Method: DFT, PBE-GGA
State: optimized geometry

Total magnetization: 0.000 μB per formula unit
DFT formation energy: -646 meV per atom
ρ: 8.86 Mg/m³
Space-group type: Ima2
N(E_F): 0.42 states/eV per atom

Unit cell a=7.2792 b=5.9149 c=9.2491 alpha=108.65 beta=113.17 gamma=90.00
Element x y z (fractional)
Pd 0.8034 0.2872 0.5000
Mg 0.1267 0.6209 0.1661
Pd 0.4162 0.9523 0.3310
Er 0.5000 0.5377 0.0000
Pd 0.4148 0.4523 0.3310
Er 0.8038 0.7868 0.5000
Pd 0.1407 0.6780 0.7811
Mg 0.5394 0.1209 0.1661
Pd 0.5838 0.6213 0.6690
Pd 0.1404 0.1780 0.7811
Pd 0.8596 0.3969 0.2189
Pd 0.1966 0.7872 0.5000
Mg 0.8733 0.4548 0.8339
Er 0.0000 0.0377 0.0000
Mg 0.4606 0.9548 0.8339
Er 0.1962 0.2868 0.5000
Pd 0.5852 0.1213 0.6690
Pd 0.8593 0.8969 0.2189

---

4.
Material: DyYGeSe
Method: DFT, PBE-GGA
State: optimized geometry

Total magnetization: 0.000 μB per formula unit
ρ: 6.66 Mg/m³
Calculated total energy: -6.191 eV per atom
Space-group type: R3m
N(E_F): 0.26 states/eV per atom

Unit cell a=4.1302 b=4.1302 c=7.2032 alpha=73.34 beta=73.34 gamma=60.00
Element x y z (fractional)
Ge 0.1938 0.1938 0.4185
Y 0.9399 0.9399 0.1804
Dy 0.4484 0.4484 0.6548
Se 0.6943 0.6943 0.9170

---

5.
Material: LaNb2Bi2
Method: DFT, PBE-GGA
State: optimized geometry

Total magnetization: 0.000 μB per formula unit
DFT formation energy: -225 meV per atom
E above lowest polymorph: 0.000 eV/atom
ρ: 9.38 Mg/m³
Space-group type: I4/mmm
N(E_F): 0.55 states/eV per atom

Unit cell a=4.0934 b=4.0934 c=8.3658 alpha=75.84 beta=75.84 gamma=90.00
Element x y z (fractional)
La 0.0000 0.0000 0.0000
Nb 0.2500 0.7500 0.5000
Bi 0.3858 0.3858 0.2284
Bi 0.6142 0.6142 0.7716
Nb 0.7500 0.2500 0.5000

---

6.
Material: BaTl2Cu
Method: DFT, PBE-GGA
State: optimized geometry

Total magnetization: 0.000 μB per formula unit
DFT formation energy: -37 meV per atom
ρ: 8.32 Mg/m³
Space-group type: Imm2
N(E_F): 0.50 states/eV per atom

Unit cell a=5.6357 b=5.6357 c=5.6357 alpha=126.90 beta=116.66 gamma=87.19
Element x y z (fractional)
Tl 0.7787 0.2787 0.5000
Ba 0.4932 0.4932 0.0000
Tl 0.0412 0.0412 0.0000
Cu 0.1869 0.6869 0.5000

---

7.
Material: KNbIN2
Method: DFT, PBE-GGA
State: optimized geometry

Total magnetization: 0.818 μB per formula unit
E above lowest polymorph: 0.000 eV/atom
ρ: 4.53 Mg/m³
Space-group type: P4/mmm
N(E_F): 0.27 states/eV per atom

Unit cell a=4.2323 b=4.2323 c=5.8737 alpha=90.00 beta=90.00 gamma=90.00
Last column: magnetic moment on the atom in μB.
Element x y z (fractional)
K 0.5000 0.5000 0.5000  0.00
Nb 0.0000 0.0000 0.0000  -0.22
N 0.0000 0.5000 0.0000  0.37
I 0.0000 0.0000 0.5000  0.00
N 0.5000 0.0000 0.0000  0.37

---

8.
Material: SrMg2CoSn
Method: DFT, PBE-GGA
State: optimized geometry

Total magnetization: 0.918 μB per formula unit
DFT formation energy: -166 meV per atom
ρ: 4.27 Mg/m³
Space-group type: P4/mmm
N(E_F): 0.58 states/eV per atom

Unit cell a=4.9796 b=4.9796 c=4.9224 alpha=90.00 beta=90.00 gamma=90.00
Last column: magnetic moment on the atom in μB.
Element x y z (fractional)
Sn 0.0000 0.0000 0.5000  0.03
Sr 0.5000 0.5000 0.5000  0.05
Mg 0.0000 0.5000 0.0000  -0.01
Mg 0.5000 0.0000 0.0000  -0.01
Co 0.0000 0.0000 0.0000  0.68

---

Copy entry 7 word for word.
Material: KNbIN2
Method: DFT, PBE-GGA
State: optimized geometry

Total magnetization: 0.818 μB per formula unit
E above lowest polymorph: 0.000 eV/atom
ρ: 4.53 Mg/m³
Space-group type: P4/mmm
N(E_F): 0.27 states/eV per atom

Unit cell a=4.2323 b=4.2323 c=5.8737 alpha=90.00 beta=90.00 gamma=90.00
Last column: magnetic moment on the atom in μB.
Element x y z (fractional)
K 0.5000 0.5000 0.5000  0.00
Nb 0.0000 0.0000 0.0000  -0.22
N 0.0000 0.5000 0.0000  0.37
I 0.0000 0.0000 0.5000  0.00
N 0.5000 0.0000 0.0000  0.37

---

> The highest total magnetization belongs to which entry?

SrMg2CoSn

---

> Which of these has the lowest N(E_F)?

DyYGeSe

---

> What is the ρ in the third record?

8.86 Mg/m³